A plane-wave DFT calculation with GGA+U was carried out for a geometry-optimized LaInMo2O8 structure.

Calculated values
- Magnetization: 0.0 μB/cell
- Raw total energy: -7.0783 eV/atom

Lattice parameters (Å, degrees): 5.555 5.555 7.232 112.59 112.59 90.00
Positions (direct):
O 0.017 0.442 0.347
O 0.704 0.825 0.171
O 0.653 0.296 0.829
O 0.467 0.347 0.171
O 0.330 0.905 0.347
O 0.095 0.983 0.653
O 0.175 0.533 0.829
O 0.558 0.670 0.653
In 0.000 0.000 0.000
Mo 0.500 0.500 0.000
Mo 0.250 0.750 0.500
La 0.750 0.250 0.500